(w)
## CaMg2Ru2 (PBE)

Data for a geometry-optimized CaMg2Ru2 structure.

Properties
volume: 189 Å³ per cell
crystal system: tetragonal
total magnetization: 0.92 μB per formula unit

Cell lengths 7.830, 7.830, 3.090 Å; angles 90.00, 90.00, 90.00 degrees
Space group P4/mbm (No. 127)
Inequivalent atoms, fractional coordinates:
Ca (0.000, 0.000, 0.000)
Mg (0.176, 0.324, 0.500)
Ru (0.111, 0.611, 0.000)

---

(x)
## CaMg2Ru2 (PBE)

Data for a geometry-optimized CaMg2Ru2 structure.

Properties
volume: 212 Å³ per cell
crystal system: tetragonal
total magnetization: 1.81 μB per formula unit

Cell lengths 4.525, 4.525, 10.341 Å; angles 90.00, 90.00, 90.00 degrees
Space group I4/mmm (No. 139)
Inequivalent atoms, fractional coordinates:
Ca (0.000, 0.000, 0.000)
Mg (0.000, 0.500, 0.250)
Ru (0.000, 0.000, 0.388)

---

Compare the structures above. Which one is the least stable? (x) is.